No. 1
VASP calculation (PBE) on an optimized crystal structure of NaTcO3.

a b c (Å): 3.8889 3.8889 3.8889
angles (deg): 90.00 90.00 90.00
Last column: nearest neighbours and their distance in Å.
Atoms (fractional coordinates):
Na (0.0000, 0.0000, 0.0000)  6 O 1.94
Tc (0.5000, 0.5000, 0.5000)  12 O 2.75
O (0.0000, 0.0000, 0.5000)  2 Na 1.94
O (0.0000, 0.5000, 0.0000)  2 Na 1.94
O (0.5000, 0.0000, 0.0000)  2 Na 1.94

Values from the calculation:
ΔE_f (raw) ... 790 meV/atom
SG ... No. 221
Fermi-level density of states ... 0.7564 states/eV/atom
Calculated volume ... 11.8 A^3/atom

---

No. 2
VASP calculation (PBE) on an optimized crystal structure of CoHgTe2C.

a b c (Å): 5.2098 5.2098 3.7100
angles (deg): 90.00 90.00 90.00
Last column: nearest neighbours and their distance in Å.
Atoms (fractional coordinates):
Co (0.0000, 0.0000, 0.0000)  2 C 1.85
Hg (0.5000, 0.5000, 0.0000)  8 Te 3.20
Te (0.0000, 0.5000, 0.5000)  2 C 2.60
Te (0.5000, 0.0000, 0.5000)  2 C 2.60
C (0.0000, 0.0000, 0.5000)  2 Co 1.85

Values from the calculation:
ΔE_f (raw) ... 859 meV/atom
SG ... No. 123
Fermi-level density of states ... 1.1722 states/eV/atom
Calculated volume ... 20.1 A^3/atom

---

No. 3
VASP calculation (PBE) on an optimized crystal structure of Y2AgRh2.

a b c (Å): 5.5365 5.5365 5.5365
angles (deg): 122.86 122.86 85.11
Last column: nearest neighbours and their distance in Å.
Atoms (fractional coordinates):
Y (0.2500, 0.7500, 0.5000)  4 Rh 2.75
Y (0.7500, 0.2500, 0.5000)  4 Rh 2.75
Ag (0.0000, 0.0000, 0.0000)  2 Rh 2.78
Rh (0.3413, 0.3413, 0.0000)  1 Rh 2.59, 4 Y 2.75, 1 Ag 2.78
Rh (0.6587, 0.6587, 0.0000)  1 Rh 2.59, 4 Y 2.75, 1 Ag 2.78

Values from the calculation:
Formation enthalpy at 0 K ... -0.366 eV per atom
E above lowest polymorph ... 0.275 eV per atom
SG ... No. 139
Fermi-level density of states ... 0.6825 states/eV/atom
Calculated volume ... 22.9 A^3/atom

---

No. 4
VASP calculation (PBE) on an optimized crystal structure of MnCoTc2N.

a b c (Å): 3.9927 3.9927 3.8115
angles (deg): 90.00 90.00 90.00
Last column: nearest neighbours and their distance in Å.
Atoms (fractional coordinates):
Mn (0.0000, 0.0000, 0.0000)  2 N 1.91
Co (0.5000, 0.5000, 0.0000)  8 Tc 2.76, 4 Mn 2.82
Tc (0.0000, 0.5000, 0.5000)  2 N 2.00
Tc (0.5000, 0.0000, 0.5000)  2 N 2.00
N (0.0000, 0.0000, 0.5000)  2 Mn 1.91, 4 Tc 2.00

Values from the calculation:
ΔE_f (raw) ... 66 meV/atom
SG ... No. 123
Fermi-level density of states ... 1.2576 states/eV/atom
Calculated volume ... 12.2 A^3/atom

---

No. 5
VASP calculation (PBE) on an optimized crystal structure of Li4U3FeN8.

a b c (Å): 6.4058 6.4058 6.2723
angles (deg): 114.91 114.91 62.77
Last column: nearest neighbours and their distance in Å.
Atoms (fractional coordinates):
Li (0.0000, 0.0000, 0.0000)  6 N 2.34-2.37
Li (0.0000, 0.5000, 0.5000)  6 N 2.38-2.59
Li (0.5000, 0.0000, 0.5000)  6 N 2.38-2.59
Li (0.5000, 0.5000, 0.0000)  6 N 2.43-2.53
U (0.0000, 0.0000, 0.5000)  6 N 2.17-2.25
U (0.0000, 0.5000, 0.0000)  6 N 2.16-2.22
U (0.5000, 0.0000, 0.0000)  6 N 2.16-2.22
Fe (0.5000, 0.5000, 0.5000)  6 N 2.23-2.46
N (0.2219, 0.7344, 0.2551)  2 U 2.17-2.20, 1 Fe 2.23, 1 Li 2.37
N (0.2343, 0.2343, 0.7553)  3 U 2.22-2.25, 2 Li 2.38
N (0.2455, 0.2455, 0.2137)  2 U 2.16, 1 Li 2.34
N (0.2656, 0.7781, 0.7449)  2 U 2.17-2.20, 1 Fe 2.23, 1 Li 2.37
N (0.7344, 0.2219, 0.2551)  2 U 2.17-2.20, 1 Fe 2.23, 1 Li 2.37
N (0.7545, 0.7545, 0.7863)  2 U 2.16, 1 Li 2.34
N (0.7657, 0.7657, 0.2447)  3 U 2.22-2.25, 2 Li 2.38
N (0.7781, 0.2656, 0.7449)  2 U 2.17-2.20, 1 Fe 2.23, 1 Li 2.37

Values from the calculation:
ΔE_f (raw) ... -846 meV/atom
SG ... No. 12
Fermi-level density of states ... 0.3417 states/eV/atom
Calculated volume ... 12.4 A^3/atom

---

No. 6
VASP calculation (PBE) on an optimized crystal structure of MnTlRh2.

a b c (Å): 8.6189 8.6189 8.6189
angles (deg): 20.15 20.15 20.15
Last column: nearest neighbours and their distance in Å.
Atoms (fractional coordinates):
Mn (0.0000, 0.0000, 0.0000)  6 Rh 2.57
Tl (0.5000, 0.5000, 0.5000)  6 Rh 2.91, 6 Tl 3.02
Rh (0.2586, 0.2586, 0.2586)  3 Mn 2.57
Rh (0.7414, 0.7414, 0.7414)  3 Mn 2.57

Values from the calculation:
Formation enthalpy at 0 K ... 0.165 eV per atom
SG ... No. 166
Fermi-level density of states ... 0.4834 states/eV/atom
Calculated volume ... 16.6 A^3/atom

---

No. 7
VASP calculation (PBE) on an optimized crystal structure of LiZnIn.

a b c (Å): 5.2901 5.2901 6.0659
angles (deg): 116.63 116.63 51.07
Last column: nearest neighbours and their distance in Å.
Atoms (fractional coordinates):
Li (0.0196, 0.0196, 0.2767)  2 Li 2.91-3.19, 5 Zn 2.92-3.00, 4 In 2.97-3.22
Li (0.9804, 0.9804, 0.7233)  2 Li 2.91-3.19, 5 Zn 2.92-3.00, 4 In 2.97-3.22
Zn (0.3499, 0.3499, 0.3656)  1 Zn 2.50, 2 In 2.73
Zn (0.6501, 0.6501, 0.6344)  1 Zn 2.50, 2 In 2.73
In (0.3229, 0.3229, 0.8445)  4 Zn 2.73-3.04, 1 In 2.94, 3 Li 2.97-3.02
In (0.6771, 0.6771, 0.1555)  4 Zn 2.73-3.04, 1 In 2.94, 3 Li 2.97-3.02

Values from the calculation:
Formation enthalpy at 0 K ... -0.156 eV per atom
SG ... No. 12
Fermi-level density of states ... 0.2524 states/eV/atom
Calculated volume ... 19.1 A^3/atom

---

No. 8
VASP calculation (PBE) on an optimized crystal structure of Cu2TcBr.

a b c (Å): 8.5781 8.5781 8.5781
angles (deg): 19.86 19.86 19.86
Last column: nearest neighbours and their distance in Å.
Atoms (fractional coordinates):
Cu (0.0000, 0.0000, 0.0000)  3 Cu 2.50, 3 Tc 2.64
Cu (0.2610, 0.2610, 0.2610)  3 Cu 2.50
Tc (0.7466, 0.7466, 0.7466)  3 Br 2.58, 3 Cu 2.64
Br (0.4897, 0.4897, 0.4897)  3 Tc 2.58

Values from the calculation:
E above lowest polymorph ... 0.000 eV per atom
ΔE_f (raw) ... 513 meV/atom
SG ... No. 160
Fermi-level density of states ... 0.5132 states/eV/atom
Calculated volume ... 15.9 A^3/atom

---

No. 9
VASP calculation (PBE) on an optimized crystal structure of LaTc2Ru.

a b c (Å): 5.8638 5.8638 5.8638
angles (deg): 151.03 131.46 57.52
Last column: nearest neighbours and their distance in Å.
Atoms (fractional coordinates):
La (0.0000, 0.0000, 0.0000)  4 Ru 2.82, 2 La 2.93
Tc (0.2821, 0.7821, 0.5000)  2 Ru 2.68, 6 Tc 2.90-2.93
Tc (0.7179, 0.2179, 0.5000)  2 Ru 2.68, 6 Tc 2.90-2.93
Ru (0.5000, 0.5000, 0.0000)  4 Tc 2.68, 4 La 2.82, 2 Ru 2.93

Values from the calculation:
Formation enthalpy at 0 K ... 0.413 eV per atom
E above lowest polymorph ... 0.170 eV per atom
SG ... No. 71
Fermi-level density of states ... 1.1242 states/eV/atom
Calculated volume ... 18.2 A^3/atom

---

No. 10
VASP calculation (PBE) on an optimized crystal structure of RbBa2Zn.

a b c (Å): 8.5489 8.5489 8.5489
angles (deg): 103.52 103.52 122.17
Last column: nearest neighbours and their distance in Å.
Atoms (fractional coordinates):
Rb (0.0000, 0.0000, 0.0000)  2 Zn 4.13, 8 Ba 4.40-4.60
Rb (0.7500, 0.2500, 0.5000)  2 Zn 4.13, 8 Ba 4.40-4.60
Ba (0.2173, 0.1250, 0.5923)  2 Zn 3.29
Ba (0.3750, 0.7827, 0.9077)  2 Zn 3.29
Ba (0.5327, 0.6250, 0.4077)  2 Zn 3.29
Ba (0.8750, 0.4673, 0.0923)  2 Zn 3.29
Zn (0.2500, 0.7500, 0.5000)  4 Ba 3.29
Zn (0.5000, 0.5000, 0.0000)  4 Ba 3.29

Values from the calculation:
Formation enthalpy at 0 K ... 0.156 eV per atom
SG ... No. 122
Fermi-level density of states ... 1.7749 states/eV/atom
Calculated volume ... 57.9 A^3/atom

---

No. 11
VASP calculation (PBE) on an optimized crystal structure of Er3ZnRu.

a b c (Å): 9.1426 8.4338 5.6894
angles (deg): 78.03 64.47 37.50
Last column: nearest neighbours and their distance in Å.
Atoms (fractional coordinates):
Er (0.1955, 0.1955, 0.8045)  4 Ru 2.97, 2 Zn 3.30, 2 Er 3.30
Er (0.2096, 0.5764, 0.4236)  2 Ru 2.81, 2 Zn 3.08
Er (0.4236, 0.7904, 0.2096)  2 Ru 2.81, 2 Zn 3.08
Er (0.5764, 0.2096, 0.7904)  2 Ru 2.81, 2 Zn 3.08
Er (0.7904, 0.4236, 0.5764)  2 Ru 2.81, 2 Zn 3.08
Er (0.8045, 0.8045, 0.1955)  4 Ru 2.97, 2 Zn 3.30, 2 Er 3.30
Zn (0.1954, 0.8046, 0.8046)  1 Zn 2.47
Zn (0.8046, 0.1954, 0.1954)  1 Zn 2.47
Ru (0.2500, 0.2500, 0.2500)  8 Er 2.81-2.97
Ru (0.7500, 0.7500, 0.7500)  8 Er 2.81-2.97

Values from the calculation:
Formation enthalpy at 0 K ... -0.374 eV per atom
E above lowest polymorph ... 0.000 eV per atom
SG ... No. 69
Fermi-level density of states ... 0.6889 states/eV/atom
Calculated volume ... 23.4 A^3/atom

---

No. 12
VASP calculation (PBE) on an optimized crystal structure of TmTl2SbS4.

a b c (Å): 8.3649 8.3649 8.3649
angles (deg): 121.00 119.05 89.96
Last column: nearest neighbours and their distance in Å.
Atoms (fractional coordinates):
Tm (0.5000, 0.0000, 0.0000)  6 S 2.75
Tm (0.5000, 0.5000, 0.5000)  6 S 2.75
Tl (0.0000, 0.0000, 0.0000)  6 S 3.12-3.14
Tl (0.0000, 0.0000, 0.5000)  6 S 3.18-3.19
Tl (0.0000, 0.5000, 0.0000)  6 S 3.18-3.19
Tl (0.5000, 0.0000, 0.5000)  6 S 3.12-3.14
Sb (0.0000, 0.5000, 0.5000)  6 S 2.81-2.82
Sb (0.5000, 0.5000, 0.0000)  6 S 2.81-2.82
S (0.2680, 0.2940, 0.5259)  1 Tm 2.75, 2 Sb 2.82
S (0.2680, 0.7421, 0.9741)  1 Tm 2.75, 2 Sb 2.82
S (0.2717, 0.7357, 0.5360)  2 Tm 2.75, 1 Sb 2.81
S (0.3003, 0.2643, 0.0360)  2 Tm 2.75, 1 Sb 2.81
S (0.6997, 0.7357, 0.9640)  2 Tm 2.75, 1 Sb 2.81
S (0.7283, 0.2643, 0.4640)  2 Tm 2.75, 1 Sb 2.81
S (0.7320, 0.2579, 0.0259)  1 Tm 2.75, 2 Sb 2.82
S (0.7320, 0.7060, 0.4741)  1 Tm 2.75, 2 Sb 2.82

Values from the calculation:
ΔE_f (raw) ... -866 meV/atom
SG ... No. 74
Fermi-level density of states ... 0.0129 states/eV/atom
Calculated volume ... 25.8 A^3/atom